No. 1
A plane-wave DFT calculation with PBE-GGA was carried out for an optimized crystal structure of CaAsPdPt.

Properties
Energy of formation (eV/atom): -0.59
Crystal system: orthorhombic

a b c (Å): 4.474 4.998 4.998
angles (deg): 47.96 90.00 90.00
Atoms (fractional coordinates):
Ca 0.000 0.000 0.000
As 0.500 0.608 0.608
Pd 0.500 0.298 0.298
Pt 0.000 0.709 0.709

---

No. 2
A plane-wave DFT calculation with PBE-GGA was carried out for an optimized crystal structure of Sm12Zr3Tl5.

Properties
Energy of formation (eV/atom): 0.51
Crystal system: cubic

a b c (Å): 15.786 15.786 15.786
angles (deg): 109.47 109.47 109.47
Atoms (fractional coordinates):
Sm 0.064 0.229 0.131
Sm 0.064 0.335 0.932
Sm 0.068 0.631 0.402
Sm 0.068 0.936 0.665
Sm 0.098 0.729 0.665
Sm 0.098 0.869 0.432
Sm 0.131 0.064 0.229
Sm 0.131 0.568 0.902
Sm 0.165 0.229 0.598
Sm 0.165 0.436 0.568
Sm 0.229 0.131 0.064
Sm 0.229 0.598 0.165
Sm 0.271 0.335 0.902
Sm 0.271 0.436 0.369
Sm 0.335 0.902 0.271
Sm 0.335 0.932 0.064
Sm 0.369 0.271 0.436
Sm 0.369 0.598 0.932
Sm 0.402 0.068 0.631
Sm 0.402 0.835 0.771
Sm 0.432 0.098 0.869
Sm 0.432 0.835 0.564
Sm 0.436 0.369 0.271
Sm 0.436 0.568 0.165
Sm 0.564 0.432 0.835
Sm 0.564 0.631 0.729
Sm 0.568 0.165 0.436
Sm 0.568 0.902 0.131
Sm 0.598 0.165 0.229
Sm 0.598 0.932 0.369
Sm 0.631 0.402 0.068
Sm 0.631 0.729 0.564
Sm 0.665 0.068 0.936
Sm 0.665 0.098 0.729
Sm 0.729 0.564 0.631
Sm 0.729 0.665 0.098
Sm 0.771 0.402 0.835
Sm 0.771 0.869 0.936
Sm 0.835 0.564 0.432
Sm 0.835 0.771 0.402
Sm 0.869 0.432 0.098
Sm 0.869 0.936 0.771
Sm 0.902 0.131 0.568
Sm 0.902 0.271 0.335
Sm 0.932 0.064 0.335
Sm 0.932 0.369 0.598
Sm 0.936 0.665 0.068
Sm 0.936 0.771 0.869
Zr 0.125 0.250 0.375
Zr 0.125 0.375 0.750
Zr 0.250 0.375 0.125
Zr 0.250 0.875 0.625
Zr 0.375 0.125 0.250
Zr 0.375 0.750 0.125
Zr 0.625 0.250 0.875
Zr 0.625 0.875 0.750
Zr 0.750 0.125 0.375
Zr 0.750 0.625 0.875
Zr 0.875 0.625 0.250
Zr 0.875 0.750 0.625
Tl 0.000 0.000 0.000
Tl 0.000 0.000 0.500
Tl 0.000 0.500 0.000
Tl 0.000 0.500 0.500
Tl 0.125 0.750 0.875
Tl 0.125 0.875 0.250
Tl 0.250 0.125 0.875
Tl 0.250 0.625 0.375
Tl 0.375 0.250 0.625
Tl 0.375 0.625 0.750
Tl 0.500 0.000 0.000
Tl 0.500 0.000 0.500
Tl 0.500 0.500 0.000
Tl 0.500 0.500 0.500
Tl 0.625 0.375 0.250
Tl 0.625 0.750 0.375
Tl 0.750 0.375 0.625
Tl 0.750 0.875 0.125
Tl 0.875 0.125 0.750
Tl 0.875 0.250 0.125

---

No. 3
A plane-wave DFT calculation with PBE-GGA was carried out for an optimized crystal structure of ScOsN2F.

Properties
Crystal system: tetragonal
E_form (uncorrected) (kJ/mol of formula units): 732

a b c (Å): 4.226 4.226 3.632
angles (deg): 90.00 90.00 90.00
Atoms (fractional coordinates):
Sc 0.000 0.000 0.000
Os 0.500 0.500 0.000
N 0.000 0.500 0.500
N 0.500 0.000 0.500
F 0.500 0.500 0.500

---

No. 4
A plane-wave DFT calculation with PBE-GGA was carried out for an optimized crystal structure of ZnCd2Ru.

Properties
Energy of formation (eV/atom): 0.24
Crystal system: monoclinic

a b c (Å): 2.928 4.238 5.669
angles (deg): 90.00 96.57 90.00
Atoms (fractional coordinates):
Zn 0.000 0.000 0.000
Cd 0.456 0.500 0.255
Cd 0.544 0.500 0.745
Ru 0.000 0.000 0.500

---

No. 5
A plane-wave DFT calculation with PBE-GGA was carried out for an optimized crystal structure of TmHf2ZrP4.

Properties
Energy of formation (eV/atom): -1.36
Crystal system: monoclinic

a b c (Å): 6.527 3.757 6.529
angles (deg): 90.00 109.34 90.00
Atoms (fractional coordinates):
Tm 0.000 0.000 0.000
Hf 0.000 0.500 0.500
Hf 0.500 0.000 0.500
Zr 0.500 0.500 0.000
P 0.251 0.000 0.742
P 0.257 0.500 0.260
P 0.743 0.500 0.740
P 0.749 0.000 0.258

---

No. 6
A plane-wave DFT calculation with PBE-GGA was carried out for an optimized crystal structure of Nd5Tl4Pb.

Properties
Energy of formation (eV/atom): -0.41
Crystal system: tetragonal

a b c (Å): 3.757 3.757 21.159
angles (deg): 90.00 90.00 90.00
Atoms (fractional coordinates):
Nd 0.000 0.000 0.000
Nd 0.000 0.000 0.199
Nd 0.000 0.000 0.399
Nd 0.000 0.000 0.601
Nd 0.000 0.000 0.801
Tl 0.500 0.500 0.099
Tl 0.500 0.500 0.297
Tl 0.500 0.500 0.703
Tl 0.500 0.500 0.901
Pb 0.500 0.500 0.500

---

No. 7
A plane-wave DFT calculation with PBE-GGA was carried out for an optimized crystal structure of Sc3AgN.

Properties
Crystal system: cubic
E_form (uncorrected) (kJ/mol of formula units): -236

a b c (Å): 8.374 8.374 8.374
angles (deg): 60.00 60.00 60.00
Atoms (fractional coordinates):
Sc 0.062 0.062 0.688
Sc 0.062 0.688 0.062
Sc 0.062 0.688 0.688
Sc 0.312 0.312 0.938
Sc 0.312 0.938 0.312
Sc 0.312 0.938 0.938
Sc 0.688 0.062 0.062
Sc 0.688 0.062 0.688
Sc 0.688 0.688 0.062
Sc 0.938 0.312 0.312
Sc 0.938 0.312 0.938
Sc 0.938 0.938 0.312
Ag 0.000 0.500 0.500
Ag 0.500 0.000 0.500
Ag 0.500 0.500 0.000
Ag 0.500 0.500 0.500
N 0.000 0.000 0.000
N 0.000 0.000 0.500
N 0.000 0.500 0.000
N 0.500 0.000 0.000

---

No. 8
A plane-wave DFT calculation with PBE-GGA was carried out for an optimized crystal structure of ErPuSn.

Properties
Energy of formation (eV/atom): 0.20
Crystal system: tetragonal

a b c (Å): 9.031 9.031 9.031
angles (deg): 159.64 159.64 28.95
Atoms (fractional coordinates):
Er 0.000 0.000 0.000
Pu 0.184 0.184 0.000
Sn 0.365 0.365 0.000

---

No. 9
A plane-wave DFT calculation with PBE-GGA was carried out for an optimized crystal structure of TbEr8Sc2.

Properties
Energy of formation (eV/atom): 0.18
Crystal system: monoclinic

a b c (Å): 9.269 9.269 5.776
angles (deg): 106.78 106.78 122.70
Atoms (fractional coordinates):
Tb 0.000 0.000 0.000
Er 0.096 0.353 0.701
Er 0.204 0.796 0.000
Er 0.353 0.096 0.701
Er 0.453 0.453 0.219
Er 0.547 0.547 0.781
Er 0.647 0.904 0.299
Er 0.796 0.204 0.000
Er 0.904 0.647 0.299
Sc 0.312 0.688 0.500
Sc 0.688 0.312 0.500